DFT (GGA-PBE) results for an optimized crystal structure of LaTb4Pm.

abc: 6.6724 6.6724 6.6724
angles: 60.00 60.00 60.00
Closest atoms and distances in Å follow each position.
Fractional positions:
1 La 0.0000 0.0000 0.0000  12 Tb 3.91, 4 Pm 4.09
2 Tb 0.1266 0.6245 0.6245  6 Tb 3.32-3.35
3 Tb 0.6245 0.1266 0.6245  6 Tb 3.32-3.35
4 Tb 0.6245 0.6245 0.1266  6 Tb 3.32-3.35
5 Tb 0.6245 0.6245 0.6245  6 Tb 3.32-3.35
6 Pm 0.2500 0.2500 0.2500  12 Tb 3.91, 4 La 4.09

energy	-4.427	eV per atom
ρ	7.27	g/cm3
SG	F-43m (216)
distance to the lowest polymorph of the same formula	250	meV per atom
formation enthalpy at 0 K	0.27	eV per atom
crystal system	cubic

DFT (GGA-PBE) results for an optimized crystal structure of CsCaTa3.

abc: 5.1287 5.1287 5.1287
angles: 90.00 90.00 90.00
Closest atoms and distances in Å follow each position.
Fractional positions:
1 Cs 0.0000 0.0000 0.0000  6 Ta 2.56
2 Ca 0.5000 0.5000 0.5000  12 Ta 3.63
3 Ta 0.0000 0.0000 0.5000  2 Cs 2.56
4 Ta 0.0000 0.5000 0.0000  2 Cs 2.56
5 Ta 0.5000 0.0000 0.0000  2 Cs 2.56

energy	-4.990	eV per atom
ρ	8.81	g/cm3
SG	Pm-3m (221)
distance to the lowest polymorph of the same formula	0	meV per atom
formation enthalpy at 0 K	2.69	eV per atom
crystal system	cubic

DFT (GGA-PBE) results for an optimized crystal structure of Th3TeIrSe.

abc: 7.4215 4.0131 11.9309
angles: 90.00 102.41 90.00
Closest atoms and distances in Å follow each position.
Fractional positions:
1 Th 0.0378 0.2500 0.1386  3 Ir 2.89-2.93, 1 Se 3.10
2 Th 0.2726 0.2500 0.5010  3 Se 2.99-3.03, 3 Te 3.23-3.24
3 Th 0.4422 0.7500 0.8550  3 Ir 2.91-2.95, 1 Se 3.11
4 Th 0.5578 0.2500 0.1450  3 Ir 2.91-2.95, 1 Se 3.11
5 Th 0.7274 0.7500 0.4990  3 Se 2.99-3.03, 3 Te 3.23-3.24
6 Th 0.9622 0.7500 0.8614  3 Ir 2.89-2.93, 1 Se 3.10
7 Te 0.3481 0.7500 0.3039  7 Th 3.23-3.36
8 Te 0.6519 0.2500 0.6961  7 Th 3.23-3.36
9 Ir 0.2356 0.2500 0.9509  6 Th 2.89-2.95
10 Ir 0.7644 0.7500 0.0491  6 Th 2.89-2.95
11 Se 0.1179 0.7500 0.6406  5 Th 2.99-3.11
12 Se 0.8821 0.2500 0.3594  5 Th 2.99-3.11

energy	-7.406	eV per atom
ρ	10.48	g/cm3
SG	P2_1/m (11)
formation energy without anion corrections	-645	kJ/mol of formula units
crystal system	monoclinic

DFT (GGA-PBE) results for an optimized crystal structure of NaNb4Te8.

abc: 9.6580 9.6580 9.6580
angles: 44.83 44.83 44.83
Closest atoms and distances in Å follow each position.
Fractional positions:
1 Na 0.0000 0.0000 0.0000  6 Te 3.27
2 Nb 0.0000 0.0000 0.5000  6 Te 2.82
3 Nb 0.0000 0.5000 0.0000  6 Te 2.82
4 Nb 0.5000 0.0000 0.0000  6 Te 2.82
5 Nb 0.5000 0.5000 0.5000  6 Te 2.82
6 Te 0.2379 0.2379 0.2379  3 Nb 2.82
7 Te 0.2377 0.7378 0.7378  3 Nb 2.82
8 Te 0.2622 0.2622 0.7623  3 Nb 2.82
9 Te 0.2622 0.7623 0.2622  3 Nb 2.82
10 Te 0.7378 0.2377 0.7378  3 Nb 2.82
11 Te 0.7378 0.7378 0.2377  3 Nb 2.82
12 Te 0.7623 0.2622 0.2622  3 Nb 2.82
13 Te 0.7621 0.7621 0.7621  3 Nb 2.82

energy	-5.615	eV per atom
ρ	5.77	g/cm3
SG	R-3m (166)
formation energy without anion corrections	-605	kJ/mol of formula units
crystal system	trigonal

DFT (GGA-PBE) results for an optimized crystal structure of K2PtO3.

abc: 6.5368 6.5368 7.5234
angles: 90.00 90.00 120.00
Closest atoms and distances in Å follow each position.
Fractional positions:
1 K 0.0000 0.0000 0.0000  6 O 2.70
2 K 0.0000 0.0000 0.5000  6 O 2.70
3 K 0.3333 0.6667 0.2500  6 O 3.27
4 K 0.6667 0.3333 0.7500  6 O 3.27
5 Pt 0.3333 0.6667 0.7500  3 O 1.84
6 Pt 0.6667 0.3333 0.2500  3 O 1.84
7 O 0.1710 0.3421 0.7500  1 Pt 1.84
8 O 0.1710 0.8290 0.7500  1 Pt 1.84
9 O 0.3421 0.1710 0.2500  1 Pt 1.84
10 O 0.6579 0.8290 0.7500  1 Pt 1.84
11 O 0.8290 0.1710 0.2500  1 Pt 1.84
12 O 0.8290 0.6579 0.2500  1 Pt 1.84

energy	-4.792	eV per atom
ρ	3.83	g/cm3
SG	P6_3/mmc (194)
formation energy without anion corrections	-545	kJ/mol of formula units
crystal system	hexagonal

DFT (GGA-PBE) results for an optimized crystal structure of Y2MnSi4Pt3.

abc: 4.1120 4.1120 10.1572
angles: 90.00 90.00 90.00
Closest atoms and distances in Å follow each position.
Fractional positions:
1 Y 0.0000 0.5000 0.2492  8 Si 3.13-3.27, 6 Pt 3.17-3.26, 2 Mn 3.26
2 Y 0.5000 0.0000 0.7508  8 Si 3.13-3.27, 6 Pt 3.17-3.26, 2 Mn 3.26
3 Mn 0.5000 0.5000 0.0000  4 Si 2.47
4 Si 0.0000 0.0000 0.5000  4 Pt 2.43
5 Si 0.0000 0.5000 0.8652  3 Pt 2.42-2.47, 2 Mn 2.47
6 Si 0.5000 0.0000 0.1348  3 Pt 2.42-2.47, 2 Mn 2.47
7 Si 0.5000 0.5000 0.5000  4 Pt 2.43
8 Pt 0.0000 0.0000 0.0000  4 Si 2.47
9 Pt 0.0000 0.5000 0.6267  5 Si 2.42-2.43
10 Pt 0.5000 0.0000 0.3733  5 Si 2.42-2.43

energy	-7.175	eV per atom
ρ	9.00	g/cm3
SG	P-4m2 (115)
formation energy without anion corrections	-949	kJ/mol of formula units
crystal system	tetragonal

DFT (GGA-PBE) results for an optimized crystal structure of Co2Ir2Ru.

abc: 4.5325 4.5325 5.8757
angles: 129.42 129.42 48.42
Closest atoms and distances in Å follow each position.
Fractional positions:
1 Co 0.1045 0.1045 0.3058  6 Ir 2.60-2.67, 3 Ru 2.61-2.62, 3 Co 2.61-2.69
2 Co 0.8955 0.8955 0.6942  6 Ir 2.60-2.67, 3 Ru 2.61-2.62, 3 Co 2.61-2.69
3 Ir 0.3010 0.3010 0.8957  3 Ir 2.59-2.67, 6 Co 2.60-2.67, 3 Ru 2.65-2.68
4 Ir 0.6990 0.6990 0.1043  3 Ir 2.59-2.67, 6 Co 2.60-2.67, 3 Ru 2.65-2.68
5 Ru 0.5000 0.5000 0.5000  6 Co 2.61-2.62, 6 Ir 2.65-2.68

energy	-8.200	eV per atom
ρ	15.46	g/cm3
SG	C2/m (12)
distance to the lowest polymorph of the same formula	18	meV per atom
formation enthalpy at 0 K	0.04	eV per atom
crystal system	monoclinic

DFT (GGA-PBE) results for an optimized crystal structure of Y2Ho4Mg.

abc: 5.9026 3.6117 10.6352
angles: 90.00 99.11 90.00
Closest atoms and distances in Å follow each position.
Fractional positions:
1 Y 0.0000 0.0000 0.0000  6 Ho 3.37-3.75, 6 Y 3.46-3.61
2 Y 0.5000 0.5000 0.0000  4 Ho 3.33, 6 Y 3.46-3.61
3 Ho 0.0580 0.5000 0.6976  6 Ho 3.48-3.61, 2 Mg 3.60-3.62, 3 Y 3.75-3.81
4 Ho 0.4240 0.0000 0.2528  2 Mg 3.16, 3 Y 3.33-3.37, 4 Ho 3.48-3.52
5 Ho 0.5760 0.0000 0.7472  2 Mg 3.16, 3 Y 3.33-3.37, 4 Ho 3.48-3.52
6 Ho 0.9420 0.5000 0.3024  6 Ho 3.48-3.61, 2 Mg 3.60-3.62, 3 Y 3.75-3.81
7 Mg 0.5000 0.5000 0.5000  4 Ho 3.16

energy	-4.545	eV per atom
ρ	6.39	g/cm3
SG	P2/m (10)
distance to the lowest polymorph of the same formula	41	meV per atom
formation enthalpy at 0 K	0.15	eV per atom
crystal system	monoclinic

DFT (GGA-PBE) results for an optimized crystal structure of Ca2TlPbN.

abc: 4.8655 4.8655 5.1053
angles: 90.00 90.00 90.00
Closest atoms and distances in Å follow each position.
Fractional positions:
1 Ca 0.0000 0.5000 0.0000  2 N 2.43
2 Ca 0.5000 0.0000 0.0000  2 N 2.43
3 Tl 0.0000 0.0000 0.5000  4 Pb 3.44, 8 Ca 3.53
4 Pb 0.5000 0.5000 0.5000  2 N 2.55
5 N 0.5000 0.5000 0.0000  4 Ca 2.43, 2 Pb 2.55

energy	-4.062	eV per atom
ρ	6.95	g/cm3
SG	P4/mmm (123)
distance to the lowest polymorph of the same formula	9	meV per atom
formation energy without anion corrections	-184	kJ/mol of formula units
crystal system	tetragonal

DFT (GGA-PBE) results for an optimized crystal structure of Pu3CdP4.

abc: 5.6231 5.6231 5.6231
angles: 90.00 90.00 90.00
Closest atoms and distances in Å follow each position.
Fractional positions:
1 Pu 0.0000 0.0000 0.5000  6 P 2.81
2 Pu 0.0000 0.5000 0.0000  6 P 2.81
3 Pu 0.5000 0.0000 0.0000  6 P 2.81
4 Cd 0.5000 0.5000 0.5000  6 P 2.81
5 P 0.0000 0.0000 0.0000  6 Pu 2.81
6 P 0.0000 0.5000 0.5000  2 Cd 2.81, 4 Pu 2.81
7 P 0.5000 0.0000 0.5000  2 Cd 2.81, 4 Pu 2.81
8 P 0.5000 0.5000 0.0000  2 Cd 2.81, 4 Pu 2.81

energy	-8.973	eV per atom
ρ	9.04	g/cm3
SG	Pm-3m (221)
formation enthalpy at 0 K	-0.78	eV per atom
crystal system	cubic

DFT (GGA-PBE) results for an optimized crystal structure of K2SiRh.

abc: 4.0418 4.0418 9.8218
angles: 100.55 100.55 59.99
Closest atoms and distances in Å follow each position.
Fractional positions:
1 K 0.0000 0.0000 0.0000  3 Si 3.47-3.48, 3 Rh 3.48
2 K 0.1584 0.1584 0.5370  3 Rh 3.48, 3 Si 3.48
3 Si 0.4122 0.4122 0.2684  3 Rh 2.33
4 Rh 0.7455 0.7455 0.2687  3 Si 2.33

energy	-3.908	eV per atom
ρ	2.56	g/cm3
SG	Cm (8)
formation energy without anion corrections	-64	kJ/mol of formula units
crystal system	monoclinic

DFT (GGA-PBE) results for an optimized crystal structure of ScMnTl2.

abc: 5.7518 5.7518 3.2375
angles: 101.96 101.96 112.52
Closest atoms and distances in Å follow each position.
Fractional positions:
1 Sc 0.0000 0.0000 0.0000  4 Tl 2.99, 2 Mn 3.19, 2 Sc 3.24
2 Mn 0.5000 0.5000 0.0000  4 Tl 2.99, 2 Sc 3.19, 2 Mn 3.24
3 Tl 0.0000 0.5000 0.5000  2 Sc 2.99, 2 Mn 2.99, 4 Tl 3.19-3.24
4 Tl 0.5000 0.0000 0.5000  2 Sc 2.99, 2 Mn 2.99, 4 Tl 3.19-3.24

energy	-4.828	eV per atom
ρ	9.20	g/cm3
SG	C2/m (12)
formation enthalpy at 0 K	0.23	eV per atom
crystal system	monoclinic